Material: NaIn6Pb8
Method: DFT, PBE
State: relaxed

Computed properties:
The energy of formation from the pure elements comes out at 0.875 eV/f.u. As for the spin magnetization: 0.000 μB/atom.

Lattice parameters (Å, degrees): 5.9420 9.7586 9.7586 120.00 90.00 90.00
Fractional coordinates of all 15 atoms:
Na  0.5000  0.0000  0.0000
In  0.5825  0.6751  0.1366
In  0.5825  0.8634  0.5385
In  0.5825  0.4615  0.3249
In  0.4175  0.3249  0.8634
In  0.4175  0.1366  0.4615
In  0.4175  0.5385  0.6751
Pb  0.9039  0.9800  0.3182
Pb  0.9039  0.6818  0.6618
Pb  0.9039  0.3382  0.0200
Pb  0.0961  0.0200  0.6818
Pb  0.0961  0.3182  0.3382
Pb  0.0961  0.6618  0.9800
Pb  0.8806  0.3333  0.6667
Pb  0.1194  0.6667  0.3333



Material: NaIn4Pb15
Method: DFT, PBE
State: relaxed

Computed properties:
The energy of formation from the pure elements comes out at -0.064 eV/f.u. As for the spin magnetization: 0.000 μB/atom.

Lattice parameters (Å, degrees): 4.9144 4.9144 25.1724 90.00 90.00 90.00
Fractional coordinates of all 20 atoms:
Na  0.0000  0.0000  0.0000
In  0.0000  0.0000  0.1998
In  0.0000  0.0000  0.3994
In  0.0000  0.0000  0.6006
In  0.0000  0.0000  0.8002
Pb  0.5000  0.5000  0.0000
Pb  0.5000  0.5000  0.1992
Pb  0.5000  0.5000  0.3999
Pb  0.5000  0.5000  0.6001
Pb  0.5000  0.5000  0.8008
Pb  0.5000  0.0000  0.0990
Pb  0.5000  0.0000  0.2987
Pb  0.5000  0.0000  0.5000
Pb  0.5000  0.0000  0.7013
Pb  0.5000  0.0000  0.9010
Pb  0.0000  0.5000  0.0990
Pb  0.0000  0.5000  0.2987
Pb  0.0000  0.5000  0.5000
Pb  0.0000  0.5000  0.7013
Pb  0.0000  0.5000  0.9010



The lowest energy of formation from the pure elements belongs to which entry? NaIn4Pb15



Copy entry 2 word for word.
Material: NaIn4Pb15
Method: DFT, PBE
State: relaxed

Computed properties:
The energy of formation from the pure elements comes out at -0.064 eV/f.u. As for the spin magnetization: 0.000 μB/atom.

Lattice parameters (Å, degrees): 4.9144 4.9144 25.1724 90.00 90.00 90.00
Fractional coordinates of all 20 atoms:
Na  0.0000  0.0000  0.0000
In  0.0000  0.0000  0.1998
In  0.0000  0.0000  0.3994
In  0.0000  0.0000  0.6006
In  0.0000  0.0000  0.8002
Pb  0.5000  0.5000  0.0000
Pb  0.5000  0.5000  0.1992
Pb  0.5000  0.5000  0.3999
Pb  0.5000  0.5000  0.6001
Pb  0.5000  0.5000  0.8008
Pb  0.5000  0.0000  0.0990
Pb  0.5000  0.0000  0.2987
Pb  0.5000  0.0000  0.5000
Pb  0.5000  0.0000  0.7013
Pb  0.5000  0.0000  0.9010
Pb  0.0000  0.5000  0.0990
Pb  0.0000  0.5000  0.2987
Pb  0.0000  0.5000  0.5000
Pb  0.0000  0.5000  0.7013
Pb  0.0000  0.5000  0.9010



Which value of spin magnetization does entry 2 give? 0.000 μB/atom